# 1
Density functional theory data (PBE-GGA) for a relaxed PmEr2Ga6 crystal.

energy of formation from the pure elements = -0.483 eV/atom
ΔE to the lowest computed polymorph = 144 meV per atom

Cell lengths 4.3148, 7.0554, 13.1788 Å; angles 90.00, 90.00, 90.00 degrees
Space group Immm (No. 71)
One atom of each set of equivalent atoms:
Pm  0.0000  0.0000  0.0000 [2 per cell]
Er  0.0000  0.5000  0.1258 [4 per cell]
Ga  0.0000  0.1842  0.5000 [4 per cell]
Ga  0.0000  0.3052  0.3146 [8 per cell]

***

# 2
Density functional theory data (PBE-GGA) for a relaxed PmEr4Ga15 crystal.

energy of formation from the pure elements = -0.527 eV/atom

Cell lengths 4.2768, 4.2768, 21.2979 Å; angles 90.00, 90.00, 90.00 degrees
Space group P4/mmm (No. 123)
One atom of each set of equivalent atoms:
Pm  0.0000  0.0000  0.0000 [1 per cell]
Er  0.0000  0.0000  0.2028 [2 per cell]
Er  0.0000  0.0000  0.4008 [2 per cell]
Ga  0.0000  0.5000  0.1037 [4 per cell]
Ga  0.0000  0.5000  0.3015 [4 per cell]
Ga  0.0000  0.5000  0.5000 [2 per cell]
Ga  0.5000  0.5000  0.0000 [1 per cell]
Ga  0.5000  0.5000  0.2012 [2 per cell]
Ga  0.5000  0.5000  0.4010 [2 per cell]

***

# 3
Density functional theory data (PBE-GGA) for a relaxed PmEr4Ga5 crystal.

energy of formation from the pure elements = -0.576 eV/atom

Cell lengths 3.5604, 3.5604, 17.8699 Å; angles 90.00, 90.00, 90.00 degrees
Space group P4/mmm (No. 123)
One atom of each set of equivalent atoms:
Pm  0.0000  0.0000  0.0000 [1 per cell]
Er  0.0000  0.0000  0.2053 [2 per cell]
Er  0.0000  0.0000  0.4018 [2 per cell]
Ga  0.5000  0.5000  0.1085 [2 per cell]
Ga  0.5000  0.5000  0.3038 [2 per cell]
Ga  0.5000  0.5000  0.5000 [1 per cell]

***

# 4
Density functional theory data (PBE-GGA) for a relaxed PmEr2Ga2 crystal.

energy of formation from the pure elements = -0.388 eV/atom
ΔE to the lowest computed polymorph = 71 meV per atom

Cell lengths 12.4833, 3.7665, 5.7970 Å; angles 90.00, 102.60, 90.00 degrees
Space group C2/m (No. 12)
One atom of each set of equivalent atoms:
Pm  0.0000  0.0000  0.0000 [2 per cell]
Er  0.1386  0.5000  0.5704 [4 per cell]
Ga  0.2071  0.5000  0.1141 [4 per cell]

***

Computed values of Fermi-level density of states (unit: states/eV per cell) for the preceding records, in sequence: 8.375; 8.038; 4.105; 10.641.